First-principles (PBE with a Hubbard U) data for a relaxed structure of V2Rh2F, as listed in Alexandria via LeMat-Bulk.

Lattice parameters (Å, degrees): 3.5915 3.5915 7.2942 75.75 75.75 90.00
Last column: nearest neighbours and their distance in Å.
Fractional coordinates of all 5 atoms:
V1 0.3917 0.3917 0.2167  4 Rh 2.64, 4 F 2.94
V2 0.6083 0.6083 0.7833  4 Rh 2.64, 4 F 2.94
Rh1 0.7500 0.2500 0.5000  4 Rh 2.54, 4 V 2.64
Rh2 0.2500 0.7500 0.5000  4 Rh 2.54, 4 V 2.64
F1 0.0000 0.0000 0.0000  8 V 2.94

## Properties
Its crystal system is tetragonal. The relative energy among the computed polymorphs is 190 meV per atom.